The following is a DFT calculation (PBEsol) of a relaxed CeSnRu crystal.

## Properties
Formation enthalpy at 0 K ... -0.592 eV/atom
Density of states at the Fermi level ... 2.297 states/eV/f.u.
SG ... C2/m

a b c (Å): 6.236 6.236 4.960
angles (deg): 103.71 103.71 44.70
Atoms (fractional coordinates):
Ce  0.136  0.136  0.327
Ce  0.864  0.864  0.673
Sn  0.417  0.417  0.187
Sn  0.583  0.583  0.813
Ru  0.190  0.190  0.815
Ru  0.810  0.810  0.185